*1*
Computed, not measured: a geometry-optimized La2SmTh structure at the GGA-PBE level of DFT.

The space group is P4/mmm (No. 123) and the conventional cell measures 3.629, 3.629 and 10.518 Å, with angles of 90.00, 90.00 and 90.00 degrees. The inequivalent atoms are La at (0.000, 0.000, 0.237), Sm at (0.500, 0.500, 0.500) and Th at (0.500, 0.500, 0.000).

---

*2*
Computed, not measured: a geometry-optimized La2SmTh structure at the GGA-PBE level of DFT.

The space group is P4/mmm (No. 123) and the conventional cell measures 5.157, 5.157 and 5.175 Å, with angles of 90.00, 90.00 and 90.00 degrees. The inequivalent atoms are La at (0.000, 0.500, 0.000), Sm at (0.000, 0.000, 0.500) and Th at (0.500, 0.500, 0.500).

---

It comes down to *1*, which is 0.021 eV/atom more stable than the next structure.

---

*1*
Computed, not measured: a geometry-optimized La7Sm2Th2 structure at the GGA-PBE level of DFT.

The space group is C2/m (No. 12) and the conventional cell measures 7.057, 10.855 and 10.250 Å, with angles of 90.00, 92.74 and 90.00 degrees. The inequivalent atoms are La at (0.000, 0.000, 0.000), La at (0.112, 0.297, 0.850), La at (0.206, 0.500, 0.299), Sm at (0.000, 0.275, 0.500) and Th at (0.175, 0.000, 0.362).

---

*2*
Computed, not measured: a geometry-optimized La7Sm2Th2 structure at the GGA-PBE level of DFT.

The space group is C2/m (No. 12) and the conventional cell measures 11.428, 11.607 and 6.284 Å, with angles of 90.00, 111.03 and 90.00 degrees. The inequivalent atoms are La at (0.000, 0.000, 0.000), La at (0.179, 0.236, 0.168), La at (0.239, 0.000, 0.595), Sm at (0.000, 0.223, 0.500) and Th at (0.075, 0.500, 0.804).

---

It comes down to *1*, which is 0.051 eV/atom more stable than the next structure.

---

*1*
Computed, not measured: a geometry-optimized LaSmTh2 structure at the GGA-PBE level of DFT.

The space group is Fm-3m (No. 225) and the conventional cell measures 8.129, 8.129 and 8.129 Å, with angles of 90.00, 90.00 and 90.00 degrees. The inequivalent atoms are La at (0.000, 0.000, 0.000), Sm at (0.000, 0.000, 0.500) and Th at (0.250, 0.250, 0.250).

---

*2*
Computed, not measured: a geometry-optimized LaSmTh2 structure at the GGA-PBE level of DFT.

The space group is P2_1/m (No. 11) and the conventional cell measures 5.077, 5.114 and 10.362 Å, with angles of 90.00, 90.09 and 90.00 degrees. The inequivalent atoms are La at (0.001, 0.250, 0.362), Sm at (0.500, 0.250, 0.639), Th at (0.000, 0.250, 0.881) and Th at (0.500, 0.250, 0.116).

---

*3*
Computed, not measured: a geometry-optimized LaSmTh2 structure at the GGA-PBE level of DFT.

The space group is P4/mmm (No. 123) and the conventional cell measures 5.069, 5.069 and 5.175 Å, with angles of 90.00, 90.00 and 90.00 degrees. The inequivalent atoms are La at (0.000, 0.000, 0.000), Sm at (0.500, 0.500, 0.000) and Th at (0.000, 0.500, 0.500).

---

It comes down to *2*, which is 0.050 eV/atom more stable than the next structure.

---

*1*
Computed, not measured: a geometry-optimized La2Sm3Th structure at the GGA-PBE level of DFT.

The space group is P2_1/m (No. 11) and the conventional cell measures 8.717, 3.669 and 13.110 Å, with angles of 90.00, 90.62 and 90.00 degrees. The inequivalent atoms are La at (0.100, 0.250, 0.390), La at (0.345, 0.750, 0.940), Sm at (0.087, 0.250, 0.111), Sm at (0.356, 0.750, 0.559), Sm at (0.408, 0.750, 0.250) and Th at (0.182, 0.250, 0.745).

---

*2*
Computed, not measured: a geometry-optimized La2Sm3Th structure at the GGA-PBE level of DFT.

The space group is C2/c (No. 15) and the conventional cell measures 17.033, 7.120 and 7.128 Å, with angles of 90.00, 102.07 and 90.00 degrees. The inequivalent atoms are La at (0.156, 0.001, 0.078), Sm at (0.000, 0.249, 0.750), Sm at (0.149, 0.499, 0.574) and Th at (0.000, 0.250, 0.250).

---

It comes down to *1*, which is 0.052 eV/atom more stable than the next structure.

---

*1*
Computed, not measured: a geometry-optimized La6Sm12Th structure at the GGA-PBE level of DFT.

The space group is R-3m (No. 166, hexagonal axes) and the conventional cell measures 13.4904, 13.4904 and 13.0578 Å, with angles of 90.00, 90.00 and 120.00 degrees. The inequivalent atoms are La at (0.0887, 0.1774, 0.2707), Sm at (0.0000, 0.2611, 0.5000), Sm at (0.0539, 0.5269, 0.6154) and Th at (0.0000, 0.0000, 0.5000).

---

*2*
Computed, not measured: a geometry-optimized La6Sm12Th structure at the GGA-PBE level of DFT.

The space group is R-3 (No. 148, hexagonal axes) and the conventional cell measures 12.3543, 12.3543 and 15.1798 Å, with angles of 90.00, 90.00 and 120.00 degrees. The inequivalent atoms are La at (0.0156, 0.4229, 0.1811), Sm at (0.0060, 0.8355, 0.6887), Sm at (0.0505, 0.8568, 0.9154) and Th at (0.0000, 0.0000, 0.5000).

---

It comes down to *1*, which is 0.008 eV/atom more stable than the next structure.

---

*1*
Computed, not measured: a geometry-optimized La2Sm4Th structure at the GGA-PBE level of DFT.

The space group is Cmmm (No. 65) and the conventional cell measures 6.063, 23.164 and 3.464 Å, with angles of 90.00, 90.00 and 90.00 degrees. The inequivalent atoms are La at (0.000, 0.215, 0.000), Sm at (0.000, 0.075, 0.500), Sm at (0.000, 0.368, 0.000) and Th at (0.000, 0.500, 0.500).

---

*2*
Computed, not measured: a geometry-optimized La2Sm4Th structure at the GGA-PBE level of DFT.

The space group is Imma (No. 74) and the conventional cell measures 6.739, 11.864 and 12.340 Å, with angles of 90.00, 90.00 and 90.00 degrees. The inequivalent atoms are La at (0.000, 0.000, 0.000), La at (0.000, 0.250, 0.227), Sm at (0.000, 0.008, 0.646), Sm at (0.228, 0.250, 0.489) and Th at (0.250, 0.250, 0.750).

---

It comes down to *1*, which is 0.040 eV/atom more stable than the next structure.

---

*1*
Computed, not measured: a geometry-optimized La2Sm6Th structure at the GGA-PBE level of DFT.

The space group is P-6m2 (No. 187) and the conventional cell measures 3.6389, 3.6389 and 39.9563 Å, with angles of 90.00, 90.00 and 120.00 degrees. The inequivalent atoms are La at (0.0000, 0.0000, 0.0748), Sm at (0.0000, 0.0000, 0.2257), Sm at (0.6667, 0.3333, 0.1515), Sm at (0.6667, 0.3333, 0.2971) and Th at (0.6667, 0.3333, 0.0000).

---

*2*
Computed, not measured: a geometry-optimized La2Sm6Th structure at the GGA-PBE level of DFT.

The space group is C2/m (No. 12) and the conventional cell measures 17.334, 9.960 and 3.574 Å, with angles of 90.00, 90.12 and 90.00 degrees. The inequivalent atoms are La at (0.167, 0.000, 0.000), Sm at (0.000, 0.171, 0.500), Sm at (0.165, 0.335, 0.499) and Th at (0.000, 0.500, 0.000).

---

It comes down to *2*, which is 0.123 eV/atom more stable than the next structure.

---

*1*
Computed, not measured: a geometry-optimized La2SmTh2 structure at the GGA-PBE level of DFT.

The space group is R-3m (No. 166, hexagonal axes) and the conventional cell measures 3.6298, 3.6298 and 44.8797 Å, with angles of 90.00, 90.00 and 120.00 degrees. The inequivalent atoms are La at (0.0000, 0.0000, 0.2041), Sm at (0.0000, 0.0000, 0.0000) and Th at (0.0000, 0.0000, 0.3987).

---

*2*
Computed, not measured: a geometry-optimized La2SmTh2 structure at the GGA-PBE level of DFT.

The space group is I4/mmm (No. 139) and the conventional cell measures 4.790, 4.790 and 15.450 Å, with angles of 90.00, 90.00 and 90.00 degrees. The inequivalent atoms are La at (0.000, 0.000, 0.100), Sm at (0.000, 0.000, 0.500) and Th at (0.000, 0.500, 0.250).

---

It comes down to *1*, which is 0.337 eV/atom more stable than the next structure.

---

*1*
Computed, not measured: a geometry-optimized La2Sm2Tl structure at the GGA-PBE level of DFT.

The space group is C2/m (No. 12) and the conventional cell measures 9.716, 5.624 and 6.832 Å, with angles of 90.00, 118.08 and 90.00 degrees. The inequivalent atoms are La at (0.182, 0.000, 0.047), Sm at (0.105, 0.500, 0.315) and Tl at (0.000, 0.000, 0.500).

---

*2*
Computed, not measured: a geometry-optimized La2Sm2Tl structure at the GGA-PBE level of DFT.

The space group is C2/m (No. 12) and the conventional cell measures 12.513, 5.656 and 9.768 Å, with angles of 90.00, 105.39 and 90.00 degrees. The inequivalent atoms are La at (0.023, 0.000, 0.338), La at (0.161, 0.000, 0.050), Sm at (0.020, 0.500, 0.843), Sm at (0.152, 0.500, 0.555) and Tl at (0.247, 0.500, 0.266).

---

It comes down to *2*, which is 0.031 eV/atom more stable than the next structure.

---

*1*
Computed, not measured: a geometry-optimized LaSm6Tl5 structure at the GGA-PBE level of DFT.

The space group is Immm (No. 71) and the conventional cell measures 5.135, 8.957 and 15.536 Å, with angles of 90.00, 90.00 and 90.00 degrees. The inequivalent atoms are La at (0.000, 0.000, 0.000), Sm at (0.000, 0.225, 0.500), Sm at (0.000, 0.265, 0.171), Tl at (0.000, 0.000, 0.321), Tl at (0.000, 0.500, 0.000) and Tl at (0.000, 0.500, 0.349).

---

*2*
Computed, not measured: a geometry-optimized LaSm6Tl5 structure at the GGA-PBE level of DFT.

The space group is Cmmm (No. 65) and the conventional cell measures 5.341, 16.520 and 8.126 Å, with angles of 90.00, 90.00 and 90.00 degrees. The inequivalent atoms are La at (0.000, 0.000, 0.000), Sm at (0.000, 0.174, 0.248), Sm at (0.000, 0.500, 0.272), Tl at (0.000, 0.000, 0.500), Tl at (0.000, 0.331, 0.500) and Tl at (0.000, 0.352, 0.000).

---

It comes down to *1*, which is 0.013 eV/atom more stable than the next structure.

---

*1*
Computed, not measured: a geometry-optimized La3SmTl structure at the GGA-PBE level of DFT.

The space group is Imm2 (No. 44) and the conventional cell measures 5.221, 9.533 and 6.935 Å, with angles of 90.00, 90.00 and 90.00 degrees. The inequivalent atoms are La at (0.000, 0.000, 0.000), La at (0.000, 0.301, 0.725), Sm at (0.000, 0.500, 0.219) and Tl at (0.000, 0.000, 0.458).

---

*2*
Computed, not measured: a geometry-optimized La3SmTl structure at the GGA-PBE level of DFT.

The space group is Cmcm (No. 63) and the conventional cell measures 6.007, 18.603 and 5.969 Å, with angles of 90.00, 90.00 and 90.00 degrees. The inequivalent atoms are La at (0.000, 0.057, 0.250), La at (0.000, 0.249, 0.250), La at (0.000, 0.442, 0.250), Sm at (0.000, 0.352, 0.750) and Tl at (0.000, 0.152, 0.750).

---

It comes down to *2*, which is 0.026 eV/atom more stable than the next structure.